1.
VASP calculation (PBE) on a relaxed CaPmSnPt crystal.

Output
Space group ... No. 216
DFT formation energy ... -0.766 eV per atom

Cell lengths 5.220, 5.220, 5.220 Å; angles 60.00, 60.00, 60.00 degrees
Sites, in units of the cell vectors:
1 Ca 0.500 0.500 0.500
2 Sn 0.250 0.250 0.250
3 Pt 0.750 0.750 0.750
4 Pm 0.000 0.000 0.000

2.
VASP calculation (PBE) on a relaxed CaPmZnPt crystal.

Output
Space group ... No. 38
DFT formation energy ... -0.715 eV per atom
Distance to the lowest polymorph of the same formula ... 0.000 kcal/mol of atoms

Cell lengths 4.065, 4.234, 6.065 Å; angles 90.00, 109.58, 90.00 degrees
Sites, in units of the cell vectors:
1 Ca 0.146 0.000 0.291
2 Pm 0.861 0.500 0.722
3 Zn 0.571 0.500 0.141
4 Pt 0.423 0.000 0.846

3.
VASP calculation (PBE) on a relaxed CaPmZnPt crystal.

Output
Space group ... No. 216
DFT formation energy ... -0.669 eV per atom
Distance to the lowest polymorph of the same formula ... 1.048 kcal/mol of atoms

Cell lengths 5.061, 5.061, 5.061 Å; angles 60.00, 60.00, 60.00 degrees
Sites, in units of the cell vectors:
1 Zn 0.750 0.750 0.750
2 Ca 0.500 0.500 0.500
3 Pt 0.250 0.250 0.250
4 Pm 0.000 0.000 0.000

4.
VASP calculation (PBE) on a relaxed CaPm3Pu2S6 crystal.

Output
Space group ... No. 12
VASP energy ... -7.7607 eV per atom

Cell lengths 6.936, 6.936, 6.961 Å; angles 99.57, 99.57, 120.04 degrees
Site moments in Bohr magnetons follow the coordinates.
Sites, in units of the cell vectors:
1 Ca 0.000 0.000 0.000  0.03
2 Pm 0.166 0.834 0.500  0.04
3 Pm 0.834 0.166 0.500  0.04
4 Pm 0.500 0.500 0.500  0.04
5 Pu 0.333 0.667 0.000  5.35
6 Pu 0.667 0.333 0.000  5.35
7 S 0.918 0.584 0.755  -0.04
8 S 0.747 0.747 0.243  -0.04
9 S 0.082 0.416 0.245  -0.04
10 S 0.584 0.918 0.755  -0.04
11 S 0.253 0.253 0.757  -0.04
12 S 0.416 0.082 0.245  -0.04

5.
VASP calculation (PBE) on a relaxed CaPmPu2S4 crystal.

Output
Space group ... No. 10
VASP energy ... -8.3947 eV per atom

Cell lengths 3.993, 6.934, 6.935 Å; angles 70.56, 90.00, 90.00 degrees
Site moments in Bohr magnetons follow the coordinates.
Sites, in units of the cell vectors:
1 Ca 0.000 0.500 0.500  0.03
2 Pm 0.500 0.500 0.000  0.07
3 Pu 0.000 0.000 0.000  5.40
4 Pu 0.500 0.000 0.500  5.35
5 S 0.000 0.755 0.746  -0.06
6 S 0.000 0.245 0.254  -0.06
7 S 0.500 0.753 0.250  -0.06
8 S 0.500 0.247 0.750  -0.06

6.
VASP calculation (PBE) on a relaxed CaPmPu2Se4 crystal.

Output
Space group ... No. 10
VASP energy ... -7.8812 eV per atom

Cell lengths 4.169, 7.239, 7.242 Å; angles 70.59, 90.00, 90.00 degrees
Site moments in Bohr magnetons follow the coordinates.
Sites, in units of the cell vectors:
1 Ca 0.000 0.500 0.500  0.02
2 Pm 0.500 0.500 0.000  0.07
3 Pu 0.000 0.000 0.000  5.49
4 Pu 0.500 0.000 0.500  5.46
5 Se 0.000 0.753 0.747  -0.05
6 Se 0.000 0.247 0.253  -0.05
7 Se 0.500 0.751 0.251  -0.05
8 Se 0.500 0.249 0.749  -0.05

7.
VASP calculation (PBE) on a relaxed CaPm4Pu3Se8 crystal.

Output
Space group ... No. 166
VASP energy ... -7.4897 eV per atom

Cell lengths 8.343, 8.373, 8.343 Å; angles 119.88, 120.00, 90.00 degrees
Site moments in Bohr magnetons follow the coordinates.
Sites, in units of the cell vectors:
1 Ca 0.000 0.500 0.000  0.02
2 Pm 0.500 0.000 0.000  0.09
3 Pm 0.500 0.000 0.500  0.04
4 Pm 0.000 0.000 0.000  0.04
5 Pm 0.000 0.000 0.500  0.04
6 Pu 0.500 0.500 0.000  5.47
7 Pu 0.500 0.500 0.500  5.47
8 Pu 0.000 0.500 0.500  5.47
9 Se 0.248 0.746 0.997  -0.03
10 Se 0.248 0.746 0.497  -0.03
11 Se 0.252 0.255 0.504  -0.05
12 Se 0.749 0.746 0.997  -0.03
13 Se 0.251 0.254 0.003  -0.03
14 Se 0.748 0.745 0.496  -0.05
15 Se 0.752 0.254 0.503  -0.03
16 Se 0.752 0.254 0.003  -0.03

8.
VASP calculation (PBE) on a relaxed Ca3PmPu2Se6 crystal.

Output
Space group ... No. 12
VASP energy ... -6.8113 eV per atom

Cell lengths 7.238, 7.238, 7.315 Å; angles 99.50, 99.50, 120.00 degrees
Site moments in Bohr magnetons follow the coordinates.
Sites, in units of the cell vectors:
1 Ca 0.166 0.834 0.500  0.03
2 Ca 0.834 0.166 0.500  0.03
3 Ca 0.500 0.500 0.500  0.03
4 Pm 0.000 0.000 0.000  0.17
5 Pu 0.333 0.667 0.000  5.50
6 Pu 0.667 0.333 0.000  5.50
7 Se 0.916 0.582 0.749  -0.03
8 Se 0.749 0.749 0.251  -0.04
9 Se 0.084 0.418 0.251  -0.03
10 Se 0.582 0.916 0.749  -0.03
11 Se 0.251 0.251 0.749  -0.04
12 Se 0.418 0.084 0.251  -0.03